# 1
The following is a PBE calculation of a relaxed structure of ErSc2PaN4, from Alexandria.

Unit cell a=3.3543 b=5.7611 c=5.7922 alpha=70.77 beta=90.00 gamma=90.00
Last column: nearest neighbours and their distance in Å.
Fractional positions:
Sc: 0.0000 0.0000 0.0000  6 N 2.33-2.38
N: 0.0000 0.2443 0.2609  3 Sc 2.33-2.38, 1 Pa 2.33, 2 Er 2.41
N: 0.5000 0.7624 0.2477  3 Sc 2.31-2.33, 1 Er 2.40, 2 Pa 2.40
Pa: 0.0000 0.5000 0.5000  6 N 2.33-2.40
N: 0.5000 0.2376 0.7523  3 Sc 2.31-2.33, 1 Er 2.40, 2 Pa 2.40
Er: 0.5000 0.5000 0.0000  6 N 2.40-2.41
N: 0.0000 0.7557 0.7391  3 Sc 2.33-2.38, 1 Pa 2.33, 2 Er 2.41
Sc: 0.5000 0.0000 0.5000  6 N 2.31-2.33

Computed properties:
* symmetry: P2/m, No. 10
* total magnetic moment: 0.00 μB per formula unit
* energy relative to the elements, uncorrected: -1766 meV/atom

# 2
The following is a PBE calculation of a relaxed structure of Er2ScPaN4, from Alexandria.

Unit cell a=3.4182 b=5.8751 c=5.8439 alpha=71.07 beta=90.00 gamma=90.00
Last column: nearest neighbours and their distance in Å.
Fractional positions:
N: 0.5000 0.7419 0.2477  1 Sc 2.33, 2 Pa 2.40, 3 Er 2.43
Er: 0.5000 0.0000 0.5000  6 N 2.43-2.45
N: 0.5000 0.2581 0.7523  1 Sc 2.33, 2 Pa 2.40, 3 Er 2.43
Pa: 0.0000 0.5000 0.5000  6 N 2.33-2.40
N: 0.0000 0.2638 0.2486  1 Pa 2.33, 2 Sc 2.38, 3 Er 2.44-2.45
Er: 0.0000 0.0000 0.0000  6 N 2.43-2.44
N: 0.0000 0.7362 0.7514  1 Pa 2.33, 2 Sc 2.38, 3 Er 2.44-2.45
Sc: 0.5000 0.5000 0.0000  6 N 2.33-2.38

Computed properties:
* symmetry: P2/m, No. 10
* total magnetic moment: 0.00 μB per formula unit
* energy relative to the elements, uncorrected: -1751 meV/atom

N(E_F) list, top to bottom, in states/eV per cell: 3.1; 3.5